BaTbAs2O8 | GGA-PBE | optimized geometry

Structure (POSCAR):
```
BaTbAs2O8
1.0
5.713 0.000 0.000
-2.857 4.948 0.000
0.000 0.000 7.779
Ba Tb As O
1 1 2 8
Cartesian
0.000 0.000 0.000
0.000 0.000 3.889
0.000 3.299 5.932
2.857 1.649 1.847
-0.019 1.672 5.403
-1.399 4.128 5.403
0.000 3.299 7.656
1.439 0.853 2.376
1.418 4.095 5.403
2.857 1.649 0.123
4.256 0.820 2.376
2.876 3.276 2.376
```

Summary:
* formation energy from raw total energies: -2000 meV per atom
* space-group type: P-3

***

Ba2TbAs2O6 | GGA-PBE | optimized geometry

Structure (POSCAR):
```
Ba2TbAs2O6
1.0
6.503 -2.845 0.000
6.503 2.845 0.000
-3.027 0.000 5.811
Ba Tb As O
2 1 2 6
Cartesian
2.354 0.000 1.351
7.624 0.000 4.460
-1.514 0.000 2.906
5.825 0.000 1.127
4.153 0.000 4.685
-0.212 0.000 4.694
3.421 1.344 3.820
6.557 1.344 1.991
3.421 -1.344 3.820
6.557 -1.344 1.991
10.191 0.000 1.117
```

Summary:
* formation energy from raw total energies: -2159 meV per atom
* space-group type: C2/m

***

| no. | N(E_F) (states/eV/f.u.) | ρ (g cm⁻³) | electronic total energy (eV/atom) |
| --- | --- | --- | --- |
| 1 | 9.4 | 4.34 | -6.627 |
| 2 | 5.4 | 5.25 | -6.479 |